Record 1
# Sr2FeCl, optimized geometry, DFT PBE
# - ρ: 3390 kg/m³
# - Space group: I-4m2
# - Relative energy among the computed polymorphs: 0.2849 eV per atom
# - Magnetization: 2.34 μB/f.u.
data_Sr2FeCl
_chemical_formula_sum 'Sr2 Fe1 Cl1'
_space_group_name_H-M_alt 'P 1'
_space_group_IT_number 1
_space_group_name_Hall 'P 1'
_cell_length_a 7.649
_cell_length_b 7.649
_cell_length_c 7.649
_cell_angle_alpha 147.24
_cell_angle_beta 147.24
_cell_angle_gamma 47.01
loop_
_atom_site_label
_atom_site_type_symbol
_atom_site_fract_x
_atom_site_fract_y
_atom_site_fract_z
Cl1 Cl 0.500 0.500 0.000
Sr1 Sr 0.000 0.000 0.000
Sr2 Sr 0.250 0.750 0.500
Fe1 Fe 0.750 0.250 0.500


Record 2
# SrFe2Cl, optimized geometry, DFT PBE
# - ρ: 4190 kg/m³
# - Space group: Fm-3m
# - Relative energy among the computed polymorphs: 1.0689 eV per atom
# - Magnetization: 6.91 μB/f.u.
data_SrFe2Cl
_chemical_formula_sum 'Sr1 Fe2 Cl1'
_space_group_name_H-M_alt 'P 1'
_space_group_IT_number 1
_space_group_name_Hall 'P 1'
_cell_length_a 5.086
_cell_length_b 5.086
_cell_length_c 5.086
_cell_angle_alpha 60.00
_cell_angle_beta 60.00
_cell_angle_gamma 60.00
loop_
_atom_site_label
_atom_site_type_symbol
_atom_site_fract_x
_atom_site_fract_y
_atom_site_fract_z
Fe1 Fe 0.750 0.750 0.750
Fe2 Fe 0.250 0.250 0.250
Sr1 Sr 0.500 0.500 0.500
Cl1 Cl 0.000 0.000 0.000


Record 3
# SrFeCl2, optimized geometry, DFT PBE
# - ρ: 3425 kg/m³
# - Space group: Cm
# - Relative energy among the computed polymorphs: 0.0627 eV per atom
# - Magnetization: 2.01 μB/f.u.
data_SrFeCl2
_chemical_formula_sum 'Sr1 Fe1 Cl2'
_space_group_name_H-M_alt 'P 1'
_space_group_IT_number 1
_space_group_name_Hall 'P 1'
_cell_length_a 7.207
_cell_length_b 7.207
_cell_length_c 5.046
_cell_angle_alpha 52.03
_cell_angle_beta 52.03
_cell_angle_gamma 31.01
loop_
_atom_site_label
_atom_site_type_symbol
_atom_site_fract_x
_atom_site_fract_y
_atom_site_fract_z
Fe1 Fe 0.554 0.554 0.793
Cl1 Cl 0.968 0.968 0.813
Cl2 Cl 0.731 0.731 0.730
Sr1 Sr 0.247 0.247 0.163


Record 4
# Sr2FeCl, optimized geometry, DFT PBE
# - ρ: 3307 kg/m³
# - Space group: Immm
# - Relative energy among the computed polymorphs: 0.2790 eV per atom
# - Magnetization: 2.66 μB/f.u.
data_Sr2FeCl
_chemical_formula_sum 'Sr2 Fe1 Cl1'
_space_group_name_H-M_alt 'P 1'
_space_group_IT_number 1
_space_group_name_Hall 'P 1'
_cell_length_a 6.085
_cell_length_b 6.085
_cell_length_c 6.085
_cell_angle_alpha 138.62
_cell_angle_beta 111.63
_cell_angle_gamma 83.17
loop_
_atom_site_label
_atom_site_type_symbol
_atom_site_fract_x
_atom_site_fract_y
_atom_site_fract_z
Sr1 Sr 0.479 0.479 0.000
Sr2 Sr 0.021 0.021 0.000
Cl1 Cl 0.250 0.750 0.500
Fe1 Fe 0.750 0.250 0.500


Record 5
# SrFe2Cl, optimized geometry, DFT PBE
# - ρ: 4465 kg/m³
# - Space group: Immm
# - Relative energy among the computed polymorphs: 0.2514 eV per atom
# - Magnetization: 5.62 μB/f.u.
data_SrFe2Cl
_chemical_formula_sum 'Sr1 Fe2 Cl1'
_space_group_name_H-M_alt 'P 1'
_space_group_IT_number 1
_space_group_name_Hall 'P 1'
_cell_length_a 6.627
_cell_length_b 6.627
_cell_length_c 6.627
_cell_angle_alpha 150.79
_cell_angle_beta 141.88
_cell_angle_gamma 48.74
loop_
_atom_site_label
_atom_site_type_symbol
_atom_site_fract_x
_atom_site_fract_y
_atom_site_fract_z
Sr1 Sr 0.750 0.250 0.500
Cl1 Cl 0.250 0.750 0.500
Fe1 Fe 0.493 0.493 0.000
Fe2 Fe 0.007 0.007 0.000


Record 6
# SrFe2Cl, optimized geometry, DFT PBE
# - ρ: 4236 kg/m³
# - Space group: I-42d
# - Relative energy among the computed polymorphs: 0.2252 eV per atom
# - Magnetization: 5.66 μB/f.u.
data_SrFe2Cl
_chemical_formula_sum 'Sr2 Fe4 Cl2'
_space_group_name_H-M_alt 'P 1'
_space_group_IT_number 1
_space_group_name_Hall 'P 1'
_cell_length_a 3.850
_cell_length_b 3.850
_cell_length_c 12.711
_cell_angle_alpha 81.29
_cell_angle_beta 81.29
_cell_angle_gamma 90.00
loop_
_atom_site_label
_atom_site_type_symbol
_atom_site_fract_x
_atom_site_fract_y
_atom_site_fract_z
Cl1 Cl 0.250 0.750 0.500
Cl2 Cl 0.500 0.500 0.000
Fe1 Fe 0.875 0.912 0.750
Fe2 Fe 0.088 0.625 0.250
Fe3 Fe 0.662 0.125 0.250
Fe4 Fe 0.375 0.338 0.750
Sr1 Sr 0.750 0.250 0.500
Sr2 Sr 0.000 0.000 0.000


Record 7
# Sr2FeCl, optimized geometry, DFT PBE
# - ρ: 3633 kg/m³
# - Space group: C2/m
# - Relative energy among the computed polymorphs: 0.0330 eV per atom
# - Magnetization: 2.09 μB/f.u.
data_Sr2FeCl
_chemical_formula_sum 'Sr2 Fe1 Cl1'
_space_group_name_H-M_alt 'P 1'
_space_group_IT_number 1
_space_group_name_Hall 'P 1'
_cell_length_a 4.104
_cell_length_b 4.104
_cell_length_c 8.671
_cell_angle_alpha 76.34
_cell_angle_beta 76.34
_cell_angle_gamma 60.12
loop_
_atom_site_label
_atom_site_type_symbol
_atom_site_fract_x
_atom_site_fract_y
_atom_site_fract_z
Fe1 Fe 0.750 0.750 0.750
Sr1 Sr 0.496 0.496 0.511
Sr2 Sr 0.004 0.004 0.989
Cl1 Cl 0.250 0.250 0.250


Record 8
# SrFe2Cl, optimized geometry, DFT PBE
# - ρ: 4250 kg/m³
# - Space group: P2/m
# - Relative energy among the computed polymorphs: 0.1932 eV per atom
# - Magnetization: 5.55 μB/f.u.
data_SrFe2Cl
_chemical_formula_sum 'Sr1 Fe2 Cl1'
_space_group_name_H-M_alt 'P 1'
_space_group_IT_number 1
_space_group_name_Hall 'P 1'
_cell_length_a 6.110
_cell_length_b 3.338
_cell_length_c 4.497
_cell_angle_alpha 90.43
_cell_angle_beta 90.00
_cell_angle_gamma 90.00
loop_
_atom_site_label
_atom_site_type_symbol
_atom_site_fract_x
_atom_site_fract_y
_atom_site_fract_z
Fe1 Fe 0.000 0.518 0.438
Fe2 Fe 0.000 0.982 0.062
Cl1 Cl 0.500 0.750 0.750
Sr1 Sr 0.500 0.250 0.250


Record 9
# SrFeCl2, optimized geometry, DFT PBE
# - ρ: 3215 kg/m³
# - Space group: R-3m
# - Relative energy among the computed polymorphs: 0.2972 eV per atom
# - Magnetization: 3.01 μB/f.u.
data_SrFeCl2
_chemical_formula_sum 'Sr1 Fe1 Cl2'
_space_group_name_H-M_alt 'P 1'
_space_group_IT_number 1
_space_group_name_Hall 'P 1'
_cell_length_a 8.676
_cell_length_b 8.676
_cell_length_c 8.676
_cell_angle_alpha 26.02
_cell_angle_beta 26.02
_cell_angle_gamma 26.02
loop_
_atom_site_label
_atom_site_type_symbol
_atom_site_fract_x
_atom_site_fract_y
_atom_site_fract_z
Cl1 Cl 0.116 0.116 0.116
Cl2 Cl 0.884 0.884 0.884
Fe1 Fe 0.500 0.500 0.500
Sr1 Sr 0.000 0.000 0.000


Record 10
# SrFe3Cl, optimized geometry, DFT PBE
# - ρ: 2622 kg/m³
# - Space group: Pm-3m
# - Relative energy among the computed polymorphs: 1.3558 eV per atom
# - Magnetization: 11.00 μB/f.u.
data_SrFe3Cl
_chemical_formula_sum 'Sr1 Fe3 Cl1'
_space_group_name_H-M_alt 'P 1'
_space_group_IT_number 1
_space_group_name_Hall 'P 1'
_cell_length_a 5.688
_cell_length_b 5.688
_cell_length_c 5.688
_cell_angle_alpha 90.00
_cell_angle_beta 90.00
_cell_angle_gamma 90.00
loop_
_atom_site_label
_atom_site_type_symbol
_atom_site_fract_x
_atom_site_fract_y
_atom_site_fract_z
Cl1 Cl 0.500 0.500 0.500
Fe1 Fe 0.000 0.500 0.000
Fe2 Fe 0.500 0.000 0.000
Fe3 Fe 0.000 0.000 0.500
Sr1 Sr 0.000 0.000 0.000


Record 11
# SrFe2Cl, optimized geometry, DFT PBE
# - ρ: 4454 kg/m³
# - Space group: Imm2
# - Relative energy among the computed polymorphs: 0.3303 eV per atom
# - Magnetization: 5.02 μB/f.u.
data_SrFe2Cl
_chemical_formula_sum 'Sr1 Fe2 Cl1'
_space_group_name_H-M_alt 'P 1'
_space_group_IT_number 1
_space_group_name_Hall 'P 1'
_cell_length_a 5.506
_cell_length_b 5.506
_cell_length_c 5.506
_cell_angle_alpha 143.36
_cell_angle_beta 116.10
_cell_angle_gamma 75.98
loop_
_atom_site_label
_atom_site_type_symbol
_atom_site_fract_x
_atom_site_fract_y
_atom_site_fract_z
Fe1 Fe 0.819 0.319 0.500
Fe2 Fe 0.993 0.993 0.000
Cl1 Cl 0.198 0.698 0.500
Sr1 Sr 0.490 0.490 0.000


Record 12
# Sr2FeCl, optimized geometry, DFT PBE
# - ρ: 3798 kg/m³
# - Space group: Amm2
# - Relative energy among the computed polymorphs: 0.1035 eV per atom
# - Magnetization: 1.98 μB/f.u.
data_Sr2FeCl
_chemical_formula_sum 'Sr2 Fe1 Cl1'
_space_group_name_H-M_alt 'P 1'
_space_group_IT_number 1
_space_group_name_Hall 'P 1'
_cell_length_a 6.393
_cell_length_b 6.393
_cell_length_c 5.112
_cell_angle_alpha 90.02
_cell_angle_beta 90.02
_cell_angle_gamma 33.89
loop_
_atom_site_label
_atom_site_type_symbol
_atom_site_fract_x
_atom_site_fract_y
_atom_site_fract_z
Sr1 Sr 0.996 0.996 0.875
Sr2 Sr 0.257 0.257 0.375
Cl1 Cl 0.506 0.506 0.375
Fe1 Fe 0.741 0.741 0.875


no.,formation energy without anion corrections (eV/atom),Fermi-level density of states (states/eV/cell)
1,-0.1408,5.93
2,0.9558,8.73
3,-0.8013,3.19
4,-0.1467,5.59
5,0.1383,5.24
6,0.1121,9.63
7,-0.3927,7.65
8,0.0801,3.37
9,-0.5669,4.41
10,2.0956,8.13
11,0.2172,2.65
12,-0.3222,3.49